Record 1
Below is a relaxed TaTlAs2Se crystal, with properties calculated at the PBE level.

The structure belongs to space group P4/mmm (No. 123); the cell edges are 5.090, 5.090 and 5.070 Å and the angles 90.00°, 90.00° and 90.00°. The distinct sites, in fractional coordinates, are Ta at (0.000, 0.000, 0.000), Tl at (0.500, 0.500, 0.500), As at (0.000, 0.500, 0.000) and Se at (0.000, 0.000, 0.500).

The value obtained for the polymorph energy (0 for the lowest one) is 0.00 eV per formula unit. The total energy is -27.1 eV per cell. For the total magnetization, the calculation gives 0.00 Bohr magnetons per cell.

***

Record 2
Below is a relaxed CsBaHoCl6 crystal, with properties calculated at the PBE level.

The structure belongs to space group P-31c (No. 163); the cell edges are 7.7043, 7.7043 and 14.3945 Å and the angles 90.00°, 90.00° and 120.00°. The distinct sites, in fractional coordinates, are Cs at (0.0000, 0.0000, 0.0000), Ba at (0.3333, 0.6667, 0.2500), Ho at (0.3333, 0.6667, 0.7500) and Cl at (0.0428, 0.3961, 0.6440).

The total energy is -78.8 eV per cell. For the total magnetization, the calculation gives 0.00 Bohr magnetons per cell.

***

Record 3
Below is a relaxed CsYRhCl6 crystal, with properties calculated at the PBE level.

The structure belongs to space group P1 (No. 1); the cell edges are 6.550, 6.554 and 8.041 Å and the angles 91.66°, 91.84° and 117.68°. The distinct sites, in fractional coordinates, are Cs at (0.000, 0.000, 0.000), Y at (0.662, 0.337, 0.500), Rh at (0.317, 0.683, 0.500), Cl at (0.328, 0.388, 0.327), Cl at (0.340, 0.001, 0.671), Cl at (0.605, 0.010, 0.284), Cl at (0.613, 0.671, 0.673), Cl at (0.991, 0.393, 0.715) and Cl at (0.998, 0.660, 0.329).

The total energy is -40.0 eV per cell. For the total magnetization, the calculation gives 1.00 Bohr magnetons per cell.

***

Record 4
Below is a relaxed Cs2FeCl5 crystal, with properties calculated at the PBE level.

The structure belongs to space group P2_1/c (No. 14); the cell edges are 13.304, 10.516 and 10.231 Å and the angles 90.00°, 110.45° and 90.00°. The distinct sites, in fractional coordinates, are Cs at (0.015, 0.115, 0.219), Cs at (0.378, 0.159, 0.085), Fe at (0.305, 0.582, 0.052), Cl at (0.115, 0.146, 0.954), Cl at (0.136, 0.628, 0.015), Cl at (0.314, 0.041, 0.380), Cl at (0.373, 0.027, 0.750) and Cl at (0.400, 0.743, 0.567).

The total energy is -123.5 eV per cell. For the total magnetization, the calculation gives 20.55 Bohr magnetons per cell.

***

Record 5
Below is a relaxed AsRhPb4 crystal, with properties calculated at the PBE level.

The structure belongs to space group F-43m (No. 216); the cell edges are 8.818, 8.818 and 8.818 Å and the angles 90.00°, 90.00° and 90.00°. The distinct sites, in fractional coordinates, are As at (0.000, 0.000, 0.000), Rh at (0.250, 0.250, 0.250) and Pb at (0.125, 0.125, 0.625).

The total energy is -90.0 eV per cell. The calculation puts the energy relative to the elements at 0.7225 eV/atom. For the total magnetization, the calculation gives 0.00 Bohr magnetons per cell.

***

Record 6
Below is a relaxed Lu2BeRh crystal, with properties calculated at the PBE level.

The structure belongs to space group Fm-3m (No. 225); the cell edges are 6.698, 6.698 and 6.698 Å and the angles 90.00°, 90.00° and 90.00°. The distinct sites, in fractional coordinates, are Lu at (0.250, 0.250, 0.250), Be at (0.000, 0.000, 0.000) and Rh at (0.000, 0.000, 0.500).

The value obtained for the polymorph energy (0 for the lowest one) is 0.05 eV per formula unit. The total energy is -87.8 eV per cell. The calculation puts the energy relative to the elements at -0.4605 eV/atom. For the total magnetization, the calculation gives 0.00 Bohr magnetons per cell.

***

Record 7
Below is a relaxed CsAlCo3 crystal, with properties calculated at the PBE level.

The structure belongs to space group Pm-3m (No. 221); the cell edges are 4.751, 4.751 and 4.751 Å and the angles 90.00°, 90.00° and 90.00°. The distinct sites, in fractional coordinates, are Cs at (0.000, 0.000, 0.000), Al at (0.500, 0.500, 0.500) and Co at (0.000, 0.000, 0.500).

The value obtained for the polymorph energy (0 for the lowest one) is 5.93 eV per formula unit. The total energy is -14.0 eV per cell. The calculation puts the energy relative to the elements at 2.3885 eV/atom. For the total magnetization, the calculation gives 3.18 Bohr magnetons per cell.

***

Record 8
Below is a relaxed TePt2I2 crystal, with properties calculated at the PBE level.

The structure belongs to space group P4/mbm (No. 127); the cell edges are 7.640, 7.640 and 4.009 Å and the angles 90.00°, 90.00° and 90.00°. The distinct sites, in fractional coordinates, are Te at (0.000, 0.000, 0.000), Pt at (0.137, 0.363, 0.000) and I at (0.172, 0.672, 0.500).

The value obtained for the polymorph energy (0 for the lowest one) is 0.18 eV per formula unit. The total energy is -32.0 eV per cell. For the total magnetization, the calculation gives 0.00 Bohr magnetons per cell.

***

Record 9
Below is a relaxed Li4Zr3CuSe8 crystal, with properties calculated at the PBE level.

The structure belongs to space group R-3m (No. 166, hexagonal axes); the cell edges are 7.6503, 7.6503 and 19.3696 Å and the angles 90.00°, 90.00° and 120.00°. The distinct sites, in fractional coordinates, are Li at (0.0000, 0.0000, 0.0000), Li at (0.0000, 0.5000, 0.0000), Zr at (0.0000, 0.5000, 0.5000), Cu at (0.0000, 0.0000, 0.5000), Se at (0.0000, 0.0000, 0.2506) and Se at (0.0024, 0.5012, 0.2475).

The total energy is -251.7 eV per cell. For the total magnetization, the calculation gives 0.00 Bohr magnetons per cell.

***

Record 10
Below is a relaxed SbHCl crystal, with properties calculated at the PBE level.

The structure belongs to space group P1 (No. 1); the cell edges are 4.380, 4.735 and 8.162 Å and the angles 101.72°, 101.02° and 90.61°. The distinct sites, in fractional coordinates, are Sb at (0.000, 0.000, 0.000), Sb at (0.493, 0.584, 0.998), H at (0.084, 0.110, 0.523), H at (0.569, 0.658, 0.220), Cl at (0.205, 0.241, 0.421) and Cl at (0.864, 0.895, 0.688).

The value obtained for the polymorph energy (0 for the lowest one) is 0.00 eV per formula unit. The total energy is -20.3 eV per cell. For the total magnetization, the calculation gives 0.00 Bohr magnetons per cell.

***

Record 11
Below is a relaxed SmScCdOs crystal, with properties calculated at the PBE level.

The structure belongs to space group F-43m (No. 216); the cell edges are 6.986, 6.986 and 6.986 Å and the angles 90.00°, 90.00° and 90.00°. The distinct sites, in fractional coordinates, are Sm at (0.000, 0.000, 0.000), Sc at (0.000, 0.000, 0.500), Cd at (0.250, 0.250, 0.250) and Os at (0.250, 0.250, 0.750).

The value obtained for the polymorph energy (0 for the lowest one) is 0.55 eV per formula unit. The total energy is -95.3 eV per cell. The calculation puts the energy relative to the elements at -0.1594 eV/atom. For the total magnetization, the calculation gives 0.00 Bohr magnetons per cell.

***

Record 12
Below is a relaxed Dy3Zn7Pt4 crystal, with properties calculated at the PBE level.

The structure belongs to space group C2/m (No. 12); the cell edges are 15.290, 4.346 and 9.245 Å and the angles 90.00°, 124.03° and 90.00°. The distinct sites, in fractional coordinates, are Dy at (0.000, 0.000, 0.000), Dy at (0.205, 0.500, 0.713), Zn at (0.000, 0.000, 0.500), Zn at (0.004, 0.500, 0.312), Zn at (0.145, 0.000, 0.423), Zn at (0.172, 0.500, 0.016), Pt at (0.118, 0.000, 0.832) and Pt at (0.161, 0.500, 0.283).

The total energy is -114.5 eV per cell. The calculation puts the energy relative to the elements at -0.7401 eV/atom. For the total magnetization, the calculation gives 0.00 Bohr magnetons per cell.

***

Question: total energy of number 6 (Lu2BeRh)?
Answer: -87.8 eV per cell